# 1
TaTc3C: optimized geometry, PBE-GGA.

Cell and atoms, written as CIF:
```
data_TaTc3C
_chemical_formula_sum 'Ta1 Tc3 C1'
_cell_length_a 4.093
_cell_length_b 4.093
_cell_length_c 4.093
_cell_angle_alpha 90.00
_cell_angle_beta 90.00
_cell_angle_gamma 90.00
_symmetry_space_group_name_H-M 'P m -3 m'
_symmetry_Int_Tables_number 221
_symmetry_space_group_name_Hall '-P 4 2 3'
loop_
_atom_site_label
_atom_site_fract_x
_atom_site_fract_y
_atom_site_fract_z
Ta1 0.000 0.000 0.000
Tc1 0.000 0.500 0.500
C1 0.500 0.500 0.500
```


# 2
# TmSiH2O4 | OQMD | PBE-GGA | optimized geometry
# Energy above the lowest structure with this stoichiometry   0 meV per atom
data_TmSiH2O4
_chemical_formula_sum 'Tm4 Si4 H8 O16'
_cell_length_a 4.774
_cell_length_b 6.535
_cell_length_c 11.283
_cell_angle_alpha 90.00
_cell_angle_beta 106.47
_cell_angle_gamma 90.00
_symmetry_space_group_name_H-M 'P 1 21/c 1'
_symmetry_Int_Tables_number 14
_symmetry_space_group_name_Hall '-P 2ybc'
loop_
_atom_site_label
_atom_site_fract_x
_atom_site_fract_y
_atom_site_fract_z
Tm1 0.005 0.246 0.327
Si1 0.269 0.233 0.104
H1 0.350 0.742 0.499
H2 0.463 0.014 0.743
O1 0.066 0.746 0.992
O2 0.213 0.046 0.202
O3 0.249 0.056 0.700
O4 0.413 0.238 0.981


# 3
NdBiPd: optimized geometry, PBE-GGA.

Cell and atoms, written as CIF:
```
data_NdBiPd
_chemical_formula_sum 'Nd4 Bi4 Pd4'
_cell_length_a 6.848
_cell_length_b 6.848
_cell_length_c 6.848
_cell_angle_alpha 90.00
_cell_angle_beta 90.00
_cell_angle_gamma 90.00
_symmetry_space_group_name_H-M 'F -4 3 m'
_symmetry_Int_Tables_number 216
_symmetry_space_group_name_Hall 'F -4 2 3'
loop_
_atom_site_label
_atom_site_fract_x
_atom_site_fract_y
_atom_site_fract_z
Nd1 0.000 0.000 0.000
Bi1 0.000 0.000 0.500
Pd1 0.250 0.250 0.750
```


# 4
# LiNbCuB | OQMD | PBE-GGA | optimized geometry
# Energy above the lowest structure with this stoichiometry   337 meV per atom
data_LiNbCuB
_chemical_formula_sum 'Li4 Nb4 Cu4 B4'
_cell_length_a 5.726
_cell_length_b 5.726
_cell_length_c 5.726
_cell_angle_alpha 90.00
_cell_angle_beta 90.00
_cell_angle_gamma 90.00
_symmetry_space_group_name_H-M 'F -4 3 m'
_symmetry_Int_Tables_number 216
_symmetry_space_group_name_Hall 'F -4 2 3'
loop_
_atom_site_label
_atom_site_fract_x
_atom_site_fract_y
_atom_site_fract_z
Li1 0.000 0.000 0.000
Nb1 0.250 0.250 0.250
Cu1 0.000 0.000 0.500
B1 0.250 0.250 0.750


Number 1: total energy -10.559 eV per atom. Number 2: total energy -6.577 eV per atom. Number 3: total energy -5.620 eV per atom. Number 4: total energy -4.982 eV per atom.